This record from Alexandria describes crystalline AlIr2Os at its relaxed geometry. The functional is PBEsol.

Cell lengths 3.8416, 3.8416, 3.7859 Å; angles 90.00, 90.00, 90.00 degrees
Space group P4/mmm (No. 123)
Unique sites:
Al 0.0000 0.0000 0.0000 x1
Ir 0.0000 0.5000 0.5000 x2
Os 0.5000 0.5000 0.0000 x1

ΔE_f: -0.13 eV/atom
Total energy: -0.3351 Ha/atom